# 1
Computed, not measured: a relaxed structure of Rb3Zn2AuF9 at the PBE-GGA level of DFT.

```
15
Lattice="-0.608 2.764 5.362 -4.696 -0.259 -3.827 -2.160 -6.465 3.087" Properties=species:S:1:pos:R:3 pbc="T T T"
F -2.516 -3.483 3.323
F -2.348 -0.129 -1.913
F -5.015 -2.303 4.046
F -4.947 -0.476 1.299
Au -1.080 -3.232 1.544
Zn -3.663 -0.237 -0.293
Rb -4.765 -3.535 1.282
F -4.661 -1.778 -1.227
Zn -3.801 -3.722 4.916
F -0.304 1.382 2.681
Rb 0.000 0.000 0.000
F -2.449 -1.656 0.576
F -2.803 -2.181 5.849
F -2.652 1.253 0.768
Rb -2.699 -0.424 3.341
```

Computed properties:
total magnetization = 1.03 μB/f.u.
ρ = 5.26 g/cm³
Fermi-level density of states = 0.179 states/eV per atom
E_form (uncorrected) = -2.213 eV per atom
raw total energy = -3.92 eV/atom

# 2
Computed, not measured: a relaxed structure of Rb2ZrAuF6 at the PBE-GGA level of DFT.

```
10
Lattice="6.912 0.000 0.000 0.000 6.912 0.000 3.456 3.456 4.884" Properties=species:S:1:pos:R:3 pbc="T T T"
Rb 3.456 6.912 2.442
F 2.015 4.897 0.000
F 2.015 2.015 0.000
F 4.897 4.897 0.000
Zr 3.456 3.456 0.000
Au 0.000 0.000 0.000
F 4.897 2.015 0.000
F 3.456 3.456 2.038
Rb 6.912 3.456 2.442
F 6.912 6.912 2.846
```

Computed properties:
total magnetization = 1.00 μB/f.u.
ρ = 4.08 g/cm³
Fermi-level density of states = 0.009 states/eV per atom
E_form (uncorrected) = -2.676 eV per atom
raw total energy = -5.18 eV/atom